[1]
Computed, not measured: a relaxed Hg2SbOs crystal at the GGA-PBE level of DFT.

Summary:
Fermi-level density of states: 3.3 states/eV per cell
mass density: 12896 kg/m3
uncorrected energy: -3.440 eV per atom

Structure (extended XYZ):
```
4
Lattice="7.391 0.006 -0.002 5.476 4.964 0.002 -6.113 -3.313 2.505" Properties=species:S:1:pos:R:3 pbc="T T T"
Hg 12.082 4.666 0.000
Hg 7.217 2.788 0.000
Os 3.855 -0.411 1.251
Sb 2.898 2.068 1.253
```

[2]
Computed, not measured: a relaxed Er2ZrSc crystal at the GGA-PBE level of DFT.

Summary:
Fermi-level density of states: 7.4 states/eV per cell
mass density: 7212 kg/m3
formation energy from the elements: 182 meV per atom
ΔE to the lowest computed polymorph: 114 meV per atom

Structure (extended XYZ):
```
4
Lattice="-5.177 -0.126 1.350 -1.514 -2.306 4.586 -1.784 3.012 4.048" Properties=species:S:1:pos:R:3 pbc="T T T"
Sc -4.237 0.290 4.992
Zr 0.000 0.000 0.000
Er -2.119 0.145 2.496
Er -6.356 0.435 7.488
```

[3]
Computed, not measured: a relaxed CaYEr2Se4 crystal at the GGA-PBE level of DFT.

Summary:
Fermi-level density of states: 2.9 states/eV per cell
mass density: 6724 kg/m3
uncorrected energy: -5.727 eV per atom

Structure (extended XYZ):
```
8
Lattice="4.067 0.000 0.000 0.000 7.069 -0.160 0.000 2.477 6.637" Properties=species:S:1:pos:R:3 pbc="T T T"
Ca 0.000 4.773 3.238
Y 2.034 3.535 -0.080
Er 0.000 2.477 6.637
Er 2.034 1.238 3.319
Se 0.000 7.187 4.845
Se 4.067 2.359 1.632
Se 2.034 5.956 1.522
Se 2.034 3.590 4.955
```

[4]
Computed, not measured: a relaxed Ac6Hg3Ru2Pt crystal at the GGA-PBE level of DFT.

Summary:
Fermi-level density of states: 8.8 states/eV per cell
mass density: 9790 kg/m3
formation energy from the elements: -474 meV per atom

Structure (extended XYZ):
```
12
Lattice="7.481 0.009 0.004 -3.731 6.485 0.004 -1.247 -2.159 8.246" Properties=species:S:1:pos:R:3 pbc="T T T"
Ac 3.787 2.101 6.596
Ac 2.458 4.257 1.612
Ac -1.283 2.234 1.658
Ac -0.073 4.330 6.596
Ac 0.045 0.079 6.642
Ac 2.577 0.005 1.658
Hg -2.599 4.391 4.127
Hg 5.102 -0.056 4.127
Hg 1.252 2.168 4.127
Ru -0.010 4.336 0.004
Ru 3.761 2.158 0.004
Pt 0.000 0.000 0.000
```